Record 1
Crystalline CaEr2TaN4 at its relaxed geometry, computed with PBE.

Calculated values
- DOS(E_F): 6.284 states/eV/cell
- SG: No. 63
- M_tot: 0.0 μB/f.u.

abc: 6.1684 6.1684 12.1040
angles: 90.00 90.00 148.15
With the nearest neighbours (Å) after each atom.
Element x y z (fractional)
Ca (0.1092, 0.8908, 0.7500)  6 N 2.63-2.80
Ca (0.8908, 0.1092, 0.2500)  6 N 2.63-2.80
Er (0.3707, 0.6293, 0.5310)  5 N 2.29-2.51
Er (0.3707, 0.6293, 0.9690)  5 N 2.29-2.51
Er (0.6293, 0.3707, 0.0310)  5 N 2.29-2.51
Er (0.6293, 0.3707, 0.4690)  5 N 2.29-2.51
Ta (0.1573, 0.8427, 0.2500)  4 N 1.95-2.04
Ta (0.8427, 0.1573, 0.7500)  4 N 1.95-2.04
N (0.0000, 0.0000, 0.0000)  4 Er 2.32
N (0.0000, 0.0000, 0.5000)  4 Er 2.32
N (0.2559, 0.7441, 0.1214)  1 Ta 1.95
N (0.2559, 0.7441, 0.3786)  1 Ta 1.95
N (0.4390, 0.5610, 0.7500)  2 Ta 2.04
N (0.5610, 0.4390, 0.2500)  2 Ta 2.04
N (0.7441, 0.2559, 0.6214)  1 Ta 1.95
N (0.7441, 0.2559, 0.8786)  1 Ta 1.95


Record 2
Crystalline CaEr2TcN4 at its relaxed geometry, computed with PBE.

Calculated values
- DOS(E_F): 8.620 states/eV/cell
- SG: No. 63
- M_tot: 0.0 μB/f.u.

abc: 6.0745 6.0745 11.6456
angles: 90.00 90.00 147.29
With the nearest neighbours (Å) after each atom.
Element x y z (fractional)
Ca (0.1128, 0.8872, 0.7500)  6 N 2.71-2.72
Ca (0.8872, 0.1128, 0.2500)  6 N 2.71-2.72
Er (0.3695, 0.6305, 0.5366)  5 N 2.25-2.48
Er (0.3695, 0.6305, 0.9634)  5 N 2.25-2.48
Er (0.6305, 0.3695, 0.0366)  5 N 2.25-2.48
Er (0.6305, 0.3695, 0.4634)  5 N 2.25-2.48
Tc (0.1518, 0.8482, 0.2500)  4 N 1.94-1.97
Tc (0.8482, 0.1518, 0.7500)  4 N 1.94-1.97
N (0.0000, 0.0000, 0.0000)  4 Er 2.33
N (0.0000, 0.0000, 0.5000)  4 Er 2.33
N (0.2587, 0.7413, 0.1221)  1 Tc 1.94
N (0.2587, 0.7413, 0.3779)  1 Tc 1.94
N (0.4323, 0.5677, 0.7500)  2 Tc 1.97
N (0.5677, 0.4323, 0.2500)  2 Tc 1.97
N (0.7413, 0.2587, 0.6221)  1 Tc 1.94
N (0.7413, 0.2587, 0.8779)  1 Tc 1.94


Record 3
Crystalline CaEr2VN4 at its relaxed geometry, computed with PBE.

Calculated values
- DOS(E_F): 6.374 states/eV/cell
- SG: No. 63
- M_tot: 0.7 μB/f.u.

abc: 6.0485 6.0485 11.7075
angles: 90.00 90.00 147.60
With the nearest neighbours (Å) after each atom.
Element x y z (fractional)
Ca (0.0945, 0.9055, 0.7500)  6 N 2.68-2.80
Ca (0.9055, 0.0945, 0.2500)  6 N 2.68-2.80
Er (0.3708, 0.6292, 0.5407)  6 N 2.31-2.50
Er (0.3708, 0.6292, 0.9593)  6 N 2.31-2.50
Er (0.6292, 0.3708, 0.0407)  6 N 2.31-2.50
Er (0.6292, 0.3708, 0.4593)  6 N 2.31-2.50
V (0.1721, 0.8279, 0.2500)  4 N 1.81-1.97
V (0.8279, 0.1721, 0.7500)  4 N 1.81-1.97
N (0.0000, 0.0000, 0.0000)  4 Er 2.31
N (0.0000, 0.0000, 0.5000)  4 Er 2.31
N (0.2611, 0.7389, 0.1235)  1 V 1.81
N (0.2611, 0.7389, 0.3765)  1 V 1.81
N (0.4151, 0.5849, 0.7500)  2 V 1.97
N (0.5849, 0.4151, 0.2500)  2 V 1.97
N (0.7389, 0.2611, 0.6235)  1 V 1.81
N (0.7389, 0.2611, 0.8765)  1 V 1.81


Record 4
Crystalline Ca3Er2WN6 at its relaxed geometry, computed with PBE.

Calculated values
- SG: No. 12
- M_tot: 0.0 μB/f.u.

abc: 5.8001 5.8001 5.9184
angles: 99.45 99.45 119.99
With the nearest neighbours (Å) after each atom.
Element x y z (fractional)
Ca (0.0000, 0.0000, 0.0000)  6 N 2.43-2.66
Ca (0.3360, 0.6640, 0.0000)  6 N 2.43-2.66
Ca (0.6640, 0.3360, 0.0000)  6 N 2.43-2.66
Er (0.1668, 0.8332, 0.5000)  6 N 2.36-2.37
Er (0.8332, 0.1668, 0.5000)  6 N 2.36-2.37
W (0.5000, 0.5000, 0.5000)  6 N 2.11-2.12
N (0.1267, 0.4281, 0.2838)  1 W 2.12, 2 Er 2.36-2.37
N (0.2705, 0.2705, 0.7131)  1 W 2.11, 2 Er 2.36
N (0.4281, 0.1267, 0.2838)  1 W 2.12, 2 Er 2.36-2.37
N (0.5719, 0.8733, 0.7162)  1 W 2.12, 2 Er 2.36-2.37
N (0.7295, 0.7295, 0.2869)  1 W 2.11, 2 Er 2.36
N (0.8733, 0.5719, 0.7162)  1 W 2.12, 2 Er 2.36-2.37


no.,E (eV per cell)
1,-133.3
2,-125.7
3,-128.7
4,-92.7